No. 1
Compound: ZnAs3
Source: Alexandria via LeMat-Bulk
Functional: PBE
Structure: relaxed

Geometry as POSCAR:
```
ZnAs3
1.0
-3.348 1.334 5.257
1.218 -6.061 -1.550
3.931 0.160 2.463
As Zn
6 2
direct
0.390 0.195 0.250
0.805 0.610 0.250
0.195 0.805 0.750
0.805 0.195 0.250
0.195 0.390 0.750
0.610 0.805 0.750
0.667 0.333 0.750
0.333 0.667 0.250
```

Summary:
For the total magnetic moment, the calculation gives 0.00 μB per formula unit. The calculation puts the energy above the most stable polymorph in this dataset at 6.71 kcal/mol of atoms. The space group is P6_3/mmc.



No. 2
Compound: ZnAs
Source: Alexandria via LeMat-Bulk
Functional: PBE
Structure: relaxed

Geometry as POSCAR:
```
ZnAs
1.0
-2.657 -1.191 1.529
1.836 -2.380 1.336
0.623 1.933 2.588
As Zn
1 1
direct
0.000 0.000 0.000
0.500 0.500 0.500
```

Summary:
For the total magnetic moment, the calculation gives 0.00 μB per formula unit. The space group is Pm-3m. As for the total energy: -5.375 eV/cell.



No. 3
Compound: Zn3As2
Source: Alexandria via LeMat-Bulk
Functional: PBE
Structure: relaxed

Geometry as POSCAR:
```
Zn3As2
1.0
0.000 3.668 7.081
3.670 0.000 7.081
3.670 3.668 0.000
Zn As
6 4
direct
0.687 0.484 0.317
0.350 0.150 0.150
0.933 0.738 0.563
0.100 0.900 0.900
0.766 0.563 0.738
0.512 0.317 0.484
0.110 0.910 0.390
0.860 0.660 0.140
0.340 0.140 0.660
0.590 0.390 0.910
```

Summary:
For the total magnetic moment, the calculation gives 0.00 μB per formula unit. The space group is Fdd2. As for the total energy: -25.865 eV/cell.



No. 4
Compound: ZnAs
Source: Alexandria via LeMat-Bulk
Functional: PBE
Structure: relaxed

Geometry as POSCAR:
```
ZnAs
1.0
1.963 6.017 0.303
-1.963 6.017 0.303
0.000 2.218 5.280
As Zn
3 3
direct
0.626 0.626 0.688
0.424 0.424 0.344
0.650 0.650 0.237
0.839 0.839 0.655
0.307 0.307 0.036
0.987 0.987 0.874
```

Summary:
For the total magnetic moment, the calculation gives 0.00 μB per formula unit. The space group is Cm. As for the total energy: -17.401 eV/cell.



- Number 2 is which compound?
  ZnAs